DFT (PBE-GGA) results for an optimized crystal structure of CaLaBi2.

VASP energy   -17.80 eV per cell
Formation enthalpy at 0 K   -0.78 eV/atom
Spin magnetization   0.00 μB/cell

Cell lengths 4.2755, 5.5086, 5.5086 Å; angles 90.00, 90.00, 90.00 degrees
Element x y z (fractional)
Ca 0.5000 0.0000 0.0000
Bi 0.0000 0.0000 0.5000
Bi 0.0000 0.5000 0.0000
La 0.5000 0.5000 0.5000